Record 1
Sr2SnHF: optimized geometry, PBE-GGA.

a b c (Å): 6.312 4.116 6.312
angles (deg): 90.00 90.00 90.00
Fractional coordinates of all 5 atoms:
Sr1 0.000 0.000 0.500
Sr2 0.500 0.000 0.000
Sn1 0.000 0.000 0.000
H1 0.000 0.500 0.000
F1 0.500 0.500 0.500

Summary:
Its density is 3179 kg/m³.

***

Record 2
TlSnHF6: optimized geometry, PBE-GGA.

a b c (Å): 6.329 5.602 5.917
angles (deg): 88.68 87.57 48.58
Fractional coordinates of all 9 atoms:
Tl1 0.040 0.967 0.987
Sn1 0.332 0.339 0.523
H1 0.783 0.639 0.411
F1 0.992 0.437 0.337
F2 0.123 0.348 0.785
F3 0.584 0.312 0.729
F4 0.083 0.807 0.509
F5 0.514 0.292 0.228
F6 0.549 0.858 0.492

Summary:
Its density is 4628 kg/m³.

***

Short version: final energy = -15.7; -40.3 eV/f.u., in the order given.
Short version: DOS at the Fermi energy = 0.19; 0.00 states/eV per atom, in the order given.